Compound: CeNpHN2
Source: the Alexandria database
Functional: PBE-GGA
Structure: optimized geometry

Properties
Calculated density   10.117 g cm⁻³
SG   P4/nmm (129)
DFT total energy   -8.874 eV per atom

Cell lengths 3.4654, 3.4654, 11.1022 Å; angles 90.00, 90.00, 90.00 degrees
Last column: nearest neighbours and their distance in Å.
Fractional positions:
Ce  0.2500  0.2500  0.1458  4 H 2.37, 4 N 2.52
Ce  0.7500  0.7500  0.8542  4 H 2.37, 4 N 2.52
Np  0.2500  0.2500  0.6098  1 N 2.11
Np  0.7500  0.7500  0.3902  1 N 2.11
H  0.2500  0.7500  0.0000  4 Ce 2.37, 4 H 2.45
H  0.7500  0.2500  0.0000  4 Ce 2.37, 4 H 2.45
N  0.2500  0.2500  0.3865  5 Np 2.45-2.48, 1 Ce 2.67
N  0.2500  0.2500  0.8001  1 Np 2.11
N  0.7500  0.7500  0.1999  1 Np 2.11
N  0.7500  0.7500  0.6135  5 Np 2.45-2.48, 1 Ce 2.67